1.
## PrTl2Ge (PBE-GGA)

Data for a relaxed PrTl2Ge crystal.

## Properties
- energy relative to the lowest polymorph listed for this composition (meV per atom) = 509
- VASP energy (eV/atom) = -3.34
- energy of formation from the pure elements (eV/atom) = 0.1899

Cell lengths 3.5257, 3.5257, 33.5442 Å; angles 90.00, 90.00, 120.00 degrees
Space group R-3m (No. 166, hexagonal axes)
Asymmetric unit:
Pr (0.0000, 0.0000, 0.0000) x3
Tl (0.0000, 0.0000, 0.0969) x6
Ge (0.0000, 0.0000, 0.5000) x3

---

2.
## BaSr3Li3 (PBE-GGA)

Data for a relaxed BaSr3Li3 crystal.

## Properties
- energy relative to the lowest polymorph listed for this composition (meV per atom) = 0
- VASP energy (eV/atom) = -1.73
- energy of formation from the pure elements (eV/atom) = 0.0823

Cell lengths 11.214, 12.668, 8.446 Å; angles 90.00, 90.00, 90.00 degrees
Space group Cmmm (No. 65)
Asymmetric unit:
Ba (0.209, 0.000, 0.000) x4
Sr (0.000, 0.268, 0.500) x4
Sr (0.000, 0.285, 0.000) x4
Sr (0.219, 0.000, 0.500) x4
Li (0.000, 0.500, 0.269) x4
Li (0.250, 0.250, 0.255) x8

---

3.
## Sc2FePt (PBE-GGA)

Data for a relaxed Sc2FePt crystal.

## Properties
- VASP energy (eV/atom) = -7.19
- energy of formation from the pure elements (eV/atom) = -0.3945

Cell lengths 2.978, 4.282, 5.511 Å; angles 90.00, 90.00, 90.00 degrees
Space group Pmm2 (No. 25)
Asymmetric unit:
Sc (0.000, 0.000, 0.000) x1
Sc (0.500, 0.500, 0.352) x1
Fe (0.000, 0.000, 0.500) x1
Pt (0.500, 0.500, 0.835) x1

---

4.
## Tl2CdIn6Sn (PBE-GGA)

Data for a relaxed Tl2CdIn6Sn crystal.

## Properties
- VASP energy (eV/atom) = -2.55
- energy of formation from the pure elements (eV/atom) = 0.0619

Cell lengths 5.743, 6.790, 7.828 Å; angles 101.32, 103.49, 91.21 degrees
Space group P-1 (No. 2)
Asymmetric unit:
Tl (0.146, 0.200, 0.207) x2
Cd (0.500, 0.000, 0.500) x1
In (0.108, 0.680, 0.211) x2
In (0.288, 0.551, 0.603) x2
In (0.341, 0.048, 0.830) x2
Sn (0.500, 0.500, 0.000) x1

---

5.
## Lu2SiOs (PBE-GGA)

Data for a relaxed Lu2SiOs crystal.

## Properties
- VASP energy (eV/atom) = -6.88
- E_form (uncorrected) (eV/atom) = -0.454

Cell lengths 3.438, 3.438, 6.543 Å; angles 90.00, 90.00, 90.00 degrees
Space group P4/mmm (No. 123)
Asymmetric unit:
Lu (0.000, 0.000, 0.243) x2
Si (0.500, 0.500, 0.500) x1
Os (0.500, 0.500, 0.000) x1

---

6.
## KGaPO4F (PBE-GGA)

Data for a relaxed KGaPO4F crystal.

## Properties
- VASP energy (eV/atom) = -6.22
- E_form (uncorrected) (eV/atom) = -2.319

Cell lengths 12.906, 6.381, 10.593 Å; angles 90.00, 90.00, 90.00 degrees
Space group Pna2_1 (No. 33)
Asymmetric unit:
K (0.104, 0.195, 0.000) x4
K (0.120, 0.775, 0.743) x4
Ga (0.112, 0.494, 0.442) x4
Ga (0.246, 0.752, 0.191) x4
P (0.000, 0.328, 0.693) x4
P (0.183, 0.001, 0.444) x4
O (0.011, 0.531, 0.312) x4
O (0.014, 0.484, 0.581) x4
O (0.096, 0.812, 0.172) x4
O (0.098, 0.191, 0.711) x4
O (0.113, 0.192, 0.415) x4
O (0.113, 0.808, 0.473) x4
O (0.243, 0.452, 0.831) x4
O (0.244, 0.541, 0.059) x4
F (0.227, 0.482, 0.571) x4
F (0.229, 0.526, 0.320) x4

---

7.
## K3Nd3NpO8 (PBE-GGA)

Data for a relaxed K3Nd3NpO8 crystal.

## Properties
- VASP energy (eV/atom) = -7.37
- E_form (uncorrected) (eV/atom) = -2.686

Cell lengths 7.2253, 7.2253, 19.0707 Å; angles 90.00, 90.00, 120.00 degrees
Space group R-3m (No. 166, hexagonal axes)
Asymmetric unit:
K (0.0000, 0.5000, 0.0000) x9
Nd (0.0000, 0.5000, 0.5000) x9
Np (0.0000, 0.0000, 0.5000) x3
O (0.0000, 0.0000, 0.2291) x6
O (0.0208, 0.5104, 0.2257) x18

---

8.
## ThGaSn2 (PBE-GGA)

Data for a relaxed ThGaSn2 crystal.

## Properties
- energy relative to the lowest polymorph listed for this composition (meV per atom) = 310
- VASP energy (eV/atom) = -4.77
- energy of formation from the pure elements (eV/atom) = -0.1531

Cell lengths 4.9082, 4.9082, 15.3026 Å; angles 90.00, 90.00, 120.00 degrees
Space group R-3m (No. 166, hexagonal axes)
Asymmetric unit:
Th (0.0000, 0.0000, 0.0000) x3
Ga (0.0000, 0.0000, 0.5000) x3
Sn (0.0000, 0.0000, 0.2240) x6

---

9.
## Cs5ScSe4 (PBE-GGA)

Data for a relaxed Cs5ScSe4 crystal.

## Properties
- VASP energy (eV/atom) = -3.53
- E_form (uncorrected) (eV/atom) = -1.074

Cell lengths 21.069, 4.622, 9.228 Å; angles 90.00, 106.52, 90.00 degrees
Space group C2/m (No. 12)
Asymmetric unit:
Cs (0.000, 0.000, 0.000) x2
Cs (0.159, 0.500, 0.859) x4
Cs (0.169, 0.500, 0.358) x4
Sc (0.000, 0.000, 0.500) x2
Se (0.002, 0.500, 0.301) x4
Se (0.139, 0.000, 0.594) x4

---

10.
## Tm3InBi (PBE-GGA)

Data for a relaxed Tm3InBi crystal.

## Properties
- VASP energy (eV/atom) = -4.03
- energy of formation from the pure elements (eV/atom) = -0.0213

Cell lengths 8.058, 16.170, 5.163 Å; angles 90.00, 90.00, 90.00 degrees
Space group Cmmm (No. 65)
Asymmetric unit:
Tm (0.000, 0.212, 0.000) x4
Tm (0.193, 0.500, 0.500) x4
Tm (0.250, 0.250, 0.500) x4
In (0.000, 0.403, 0.000) x4
Bi (0.000, 0.107, 0.500) x4